LaHO GGA-PBE relaxed; excess energy over the best structure of this formula in the dataset = 28.84 kJ/mol of atoms; SG = P3m1, No. 156; uncorrected energy = -6.35 eV per atom; volume = 21.06 Å³/atom
1.0
-0.977 4.605 1.148
-2.680 -1.201 2.536
3.674 0.493 1.148
O H La
1 1 1
Direct
0.170 0.000 0.000 O
0.545 0.333 0.667 H
0.285 0.667 0.333 La